No. 1
First-principles (PBEsol) data for MgInNi2 after structural relaxation, as listed in Alexandria via LeMat-Bulk.

Crystal system = monoclinic
Volume = 114.9 Å³ per cell
E = -4.371 eV/atom

abc: 9.4589 2.9362 4.3746
angles: 90.00 108.92 90.00
Closest atoms and distances in Å follow each position.
Space group Cm (No. 8)
Unique sites:
Mg1 0.0000 0.0000 0.0000 (multiplicity 2)  7 Ni 2.64-2.71, 2 In 2.92-2.93, 2 Mg 2.94
In1 0.2829 0.5000 0.3483 (multiplicity 2)  7 Ni 2.65-2.73, 2 Mg 2.92-2.93, 2 In 2.94
Ni1 0.0313 0.5000 0.5233 (multiplicity 2)  2 Ni 2.50, 4 Mg 2.64-2.65, 3 In 2.66-2.73
Ni2 0.2450 0.0000 0.8206 (multiplicity 2)  2 Ni 2.50, 4 In 2.65-2.66, 3 Mg 2.68-2.71



No. 2
First-principles (PBEsol) data for Li3Pt after structural relaxation, as listed in Alexandria via LeMat-Bulk.

Crystal system = orthorhombic
Polymorph energy (0 for the lowest one) = 62 meV/atom
Volume = 244.7 Å³ per cell
E = -3.507 eV/atom

abc: 4.2987 7.4397 7.6516
angles: 90.00 90.00 90.00
Closest atoms and distances in Å follow each position.
Space group Cmcm (No. 63)
Unique sites:
Li1 0.0000 0.9998 0.2500 (multiplicity 4)  3 Pt 2.48
Li2 0.0000 0.3334 0.0807 (multiplicity 8)  4 Pt 2.53-2.80, 7 Li 2.59-2.80
Pt1 0.0000 0.3337 0.7500 (multiplicity 4)  5 Li 2.48-2.53